A plane-wave DFT calculation with GGA-PBEsol was carried out for crystalline Cd2AuBr at its relaxed geometry.

Values from the calculation:
The value obtained for the volume is 20.78 Å³ per atom. As for the total energy: -2.088 eV per atom.

Cell: 5.0743 5.0743 3.3388 Å, 90.00 90.00 104.75°
Sites, in units of the cell vectors:
1 Cd 0.0000 0.5000 0.0000
2 Cd 0.5000 0.0000 0.0000
3 Au 0.0000 0.0000 0.5000
4 Br 0.5000 0.5000 0.5000

---

A plane-wave DFT calculation with GGA-PBEsol was carried out for crystalline ScTl2Cl at its relaxed geometry.

Values from the calculation:
The value obtained for the volume is 25.14 Å³ per atom. As for the total energy: -4.198 eV per atom.

Cell: 9.9727 9.9727 9.9727 Å, 19.90 19.90 19.90°
Sites, in units of the cell vectors:
1 Sc 0.0000 0.0000 0.0000
2 Tl 0.2558 0.2558 0.2558
3 Tl 0.4999 0.4999 0.4999
4 Cl 0.7211 0.7211 0.7211

---

A plane-wave DFT calculation with GGA-PBEsol was carried out for crystalline CoSeBr2 at its relaxed geometry.

Values from the calculation:
The value obtained for the volume is 22.35 Å³ per atom. As for the total energy: -3.283 eV per atom.

Cell: 3.4359 4.0549 6.4180 Å, 90.00 90.00 90.00°
Sites, in units of the cell vectors:
1 Co 0.0000 0.0000 0.0000
2 Se 0.5000 0.0000 0.5000
3 Br 0.0000 0.5000 0.5000
4 Br 0.5000 0.5000 0.0000

---

A plane-wave DFT calculation with GGA-PBEsol was carried out for crystalline BeFeSCl2 at its relaxed geometry.

Values from the calculation:
The value obtained for the volume is 18.47 Å³ per atom. As for the total energy: -3.986 eV per atom.

Cell: 4.4695 4.4695 4.6242 Å, 90.00 90.00 90.00°
Sites, in units of the cell vectors:
1 Be 0.0000 0.0000 0.0000
2 Fe 0.5000 0.5000 0.5000
3 S 0.5000 0.5000 0.0000
4 Cl 0.0000 0.5000 0.5000
5 Cl 0.5000 0.0000 0.5000

---

What did we get for DOS(E_F)? Answer: 0.6 2.4 4.8 3.6 states/eV per cell, in the order shown.